# 1
A geometry-optimized NaCe3Pr2Te6 structure. Source: the Alexandria database, functional PBE.

Summary:
The calculation puts the total magnetization at 6.859 μB/cell. The value obtained for the uncorrected formation energy is -1.366 eV/atom.

Cell: 19.745 4.496 9.077 Å, 90.00 103.44 90.00°
Space group C2/m (No. 12)
Symmetry-distinct sites (fractional):
Na1 0.000 0.000 0.000 (multiplicity 2)
Ce1 0.000 0.000 0.500 (multiplicity 2)
Ce2 0.166 0.500 0.833 (multiplicity 4)
Pr1 0.169 0.500 0.340 (multiplicity 4)
Te1 0.001 0.500 0.249 (multiplicity 4)
Te2 0.165 0.000 0.587 (multiplicity 4)
Te3 0.166 0.000 0.083 (multiplicity 4)

# 2
A geometry-optimized NaCePr2Te4 structure. Source: the Alexandria database, functional PBE.

Summary:
The calculation puts the total magnetization at 1.272 μB/cell. The value obtained for the uncorrected formation energy is -1.374 eV/atom.

Cell: 7.844 4.508 7.881 Å, 90.00 109.19 90.00°
Space group P2/m (No. 10)
Symmetry-distinct sites (fractional):
Na1 0.000 0.000 0.000 (multiplicity 1)
Ce1 0.500 0.500 0.000 (multiplicity 1)
Pr1 0.000 0.500 0.500 (multiplicity 1)
Pr2 0.500 0.000 0.500 (multiplicity 1)
Te1 0.249 0.000 0.754 (multiplicity 2)
Te2 0.249 0.500 0.247 (multiplicity 2)

# 3
A geometry-optimized NaCe2Pt structure. Source: the Alexandria database, functional PBE.

Summary:
For the formation energy from the elements, the calculation gives -0.2434 eV/atom. The calculation puts the total magnetization at 7.186 μB/cell.

Cell: 3.9388 3.9388 32.4732 Å, 90.00 90.00 120.00°
Space group R-3m (No. 166, hexagonal axes)
Symmetry-distinct sites (fractional):
Na1 0.0000 0.0000 0.0000 (multiplicity 3)
Ce1 0.0000 0.0000 0.1139 (multiplicity 6)
Pt1 0.0000 0.0000 0.5000 (multiplicity 3)

# 4
A geometry-optimized NaCe2Pt9 structure. Source: the Alexandria database, functional PBE.

Summary:
For the formation energy from the elements, the calculation gives -0.6781 eV/atom. The calculation puts the total magnetization at 3.745 μB/cell.

Cell: 5.4552 5.4552 26.5462 Å, 90.00 90.00 120.00°
Space group R-3m (No. 166, hexagonal axes)
Symmetry-distinct sites (fractional):
Na1 0.0000 0.0000 0.0000 (multiplicity 3)
Ce1 0.0000 0.0000 0.1367 (multiplicity 6)
Pt1 0.0000 0.0000 0.3321 (multiplicity 6)
Pt2 0.0000 0.0000 0.5000 (multiplicity 3)
Pt3 0.0047 0.5024 0.9153 (multiplicity 18)

# 5
A geometry-optimized Na2CePt6 structure. Source: the Alexandria database, functional PBE.

Summary:
For the formation energy from the elements, the calculation gives -0.0388 eV/atom. The calculation puts the total magnetization at 0.000 μB/cell.

Cell: 9.152 9.152 9.152 Å, 90.00 90.00 90.00°
Space group Fm-3m (No. 225)
Symmetry-distinct sites (fractional):
Na1 0.250 0.250 0.250 (multiplicity 8)
Ce1 0.000 0.000 0.000 (multiplicity 4)
Pt1 0.000 0.000 0.289 (multiplicity 24)

# 6
A geometry-optimized NaCePt10 structure. Source: the Alexandria database, functional PBE.

Summary:
For the formation energy from the elements, the calculation gives -0.4498 eV/atom. The calculation puts the total magnetization at 0.291 μB/cell.

Cell: 4.417 5.414 9.304 Å, 90.00 90.00 90.00°
Space group Pmmm (No. 47)
Symmetry-distinct sites (fractional):
Na1 0.000 0.000 0.000 (multiplicity 1)
Ce1 0.000 0.500 0.500 (multiplicity 1)
Pt1 0.000 0.000 0.331 (multiplicity 2)
Pt2 0.000 0.500 0.167 (multiplicity 2)
Pt3 0.500 0.000 0.500 (multiplicity 1)
Pt4 0.500 0.253 0.253 (multiplicity 4)
Pt5 0.500 0.500 0.000 (multiplicity 1)

# 7
A geometry-optimized Na3Ce3PtS8 structure. Source: the Alexandria database, functional PBE.

Summary:
The calculation puts the total magnetization at 4.237 μB/cell. The value obtained for the uncorrected formation energy is -1.399 eV/atom.

Cell: 13.792 7.959 8.157 Å, 90.00 124.32 90.00°
Space group C2/m (No. 12)
Symmetry-distinct sites (fractional):
Na1 0.000 0.000 0.000 (multiplicity 2)
Na2 0.250 0.250 0.000 (multiplicity 4)
Ce1 0.000 0.500 0.500 (multiplicity 2)
Ce2 0.250 0.250 0.500 (multiplicity 4)
Pt1 0.000 0.000 0.500 (multiplicity 2)
S1 0.005 0.228 0.286 (multiplicity 8)
S2 0.222 0.000 0.713 (multiplicity 4)
S3 0.245 0.500 0.734 (multiplicity 4)

# 8
A geometry-optimized Na3Ce2PtS6 structure. Source: the Alexandria database, functional PBE.

Summary:
The calculation puts the total magnetization at 1.915 μB/cell. The value obtained for the uncorrected formation energy is -1.290 eV/atom.

Cell: 6.781 11.764 7.086 Å, 90.00 107.59 90.00°
Space group C2/m (No. 12)
Symmetry-distinct sites (fractional):
Na1 0.000 0.000 0.000 (multiplicity 2)
Na2 0.000 0.338 0.000 (multiplicity 4)
Ce1 0.000 0.171 0.500 (multiplicity 4)
Pt1 0.000 0.500 0.500 (multiplicity 2)
S1 0.230 0.500 0.292 (multiplicity 4)
S2 0.246 0.337 0.736 (multiplicity 8)

# 9
A geometry-optimized Na4Ce3PtSe8 structure. Source: the Alexandria database, functional PBE.

Summary:
The calculation puts the total magnetization at 4.040 μB/cell. The value obtained for the uncorrected formation energy is -1.337 eV/atom.

Cell: 14.949 8.172 8.421 Å, 90.00 122.75 90.00°
Space group C2/m (No. 12)
Symmetry-distinct sites (fractional):
Na1 0.000 0.000 0.000 (multiplicity 2)
Na2 0.000 0.500 0.000 (multiplicity 2)
Na3 0.250 0.250 0.000 (multiplicity 4)
Ce1 0.000 0.000 0.500 (multiplicity 2)
Ce2 0.250 0.250 0.500 (multiplicity 4)
Pt1 0.000 0.500 0.500 (multiplicity 2)
Se1 0.012 0.283 0.296 (multiplicity 8)
Se2 0.218 0.000 0.233 (multiplicity 4)
Se3 0.237 0.000 0.735 (multiplicity 4)

# 10
A geometry-optimized NaCe2Pu structure. Source: the Alexandria database, functional PBE.

Summary:
For the formation energy from the elements, the calculation gives 0.4188 eV/atom. The calculation puts the total magnetization at 6.353 μB/cell.

Cell: 3.6486 3.6486 30.6364 Å, 90.00 90.00 120.00°
Space group R-3m (No. 166, hexagonal axes)
Symmetry-distinct sites (fractional):
Na1 0.0000 0.0000 0.0000 (multiplicity 3)
Ce1 0.0000 0.0000 0.1164 (multiplicity 6)
Pu1 0.0000 0.0000 0.5000 (multiplicity 3)

# 11
A geometry-optimized Na2CePuS4 structure. Source: the Alexandria database, functional PBE.

Summary:
The calculation puts the total magnetization at 6.000 μB/cell. The value obtained for the uncorrected formation energy is -1.651 eV/atom.

Cell: 7.043 4.088 7.076 Å, 90.00 109.64 90.00°
Space group P2/m (No. 10)
Symmetry-distinct sites (fractional):
Na1 0.000 0.000 0.000 (multiplicity 1)
Na2 0.000 0.500 0.500 (multiplicity 1)
Ce1 0.500 0.000 0.500 (multiplicity 1)
Pu1 0.500 0.500 0.000 (multiplicity 1)
S1 0.269 0.500 0.255 (multiplicity 2)
S2 0.273 0.000 0.759 (multiplicity 2)

# 12
A geometry-optimized Na3Ce2PuS6 structure. Source: the Alexandria database, functional PBE.

Summary:
The calculation puts the total magnetization at 14.001 μB/cell. The value obtained for the uncorrected formation energy is -1.680 eV/atom.

Cell: 7.109 12.313 7.048 Å, 90.00 109.65 90.00°
Space group C2/m (No. 12)
Symmetry-distinct sites (fractional):
Na1 0.000 0.000 0.000 (multiplicity 2)
Na2 0.000 0.334 0.000 (multiplicity 4)
Ce1 0.000 0.167 0.500 (multiplicity 4)
Pu1 0.000 0.500 0.500 (multiplicity 2)
S1 0.243 0.334 0.730 (multiplicity 8)
S2 0.245 0.000 0.730 (multiplicity 4)

Please write out number 1 again, unchanged.
A geometry-optimized NaCe3Pr2Te6 structure. Source: the Alexandria database, functional PBE.

Summary:
The calculation puts the total magnetization at 6.859 μB/cell. The value obtained for the uncorrected formation energy is -1.366 eV/atom.

Cell: 19.745 4.496 9.077 Å, 90.00 103.44 90.00°
Space group C2/m (No. 12)
Symmetry-distinct sites (fractional):
Na1 0.000 0.000 0.000 (multiplicity 2)
Ce1 0.000 0.000 0.500 (multiplicity 2)
Ce2 0.166 0.500 0.833 (multiplicity 4)
Pr1 0.169 0.500 0.340 (multiplicity 4)
Te1 0.001 0.500 0.249 (multiplicity 4)
Te2 0.165 0.000 0.587 (multiplicity 4)
Te3 0.166 0.000 0.083 (multiplicity 4)